Compound: TaCo5
Source: OQMD
Functional: PBE
Structure: relaxed

Cell: 4.8144 4.8144 7.5304 Å, 90.00 90.00 121.64°
Element x y z (fractional)
Co1 0.3190 0.1685 0.7500
Co2 0.6810 0.8315 0.2500
Co3 0.8315 0.6810 0.7500
Co4 0.5000 0.5000 0.5000
Co5 0.8365 0.1635 0.9325
Co6 0.1635 0.8365 0.4325
Co7 0.1635 0.8365 0.0675
Co8 0.5000 0.5000 0.0000
Co9 0.8365 0.1635 0.5675
Co10 0.1685 0.3190 0.2500
Ta1 0.6832 0.3168 0.2500
Ta2 0.3168 0.6832 0.7500

Summary:
V	148.61	Å³/cell
ΔE_f	194	meV per atom
spin magnetization	0.901	μB/atom
total DFT energy (no corrections)	-7.70	eV per atom